First-principles (PBE) data for Rb2InSb after structural relaxation, as listed in Alexandria.

Computed properties:
For the size of the total moment, the calculation gives 0.00 μB per formula unit. Its calculated volume is 206.0 Å³/f.u. The excess energy over the best structure of this formula in the dataset comes out at 5.1 kJ/mol of atoms. The uncorrected formation energy comes out at -14.2 kJ per mole of atoms.

The structure in CIF format:
```
data_Rb2InSb
_chemical_formula_sum 'Rb8 In4 Sb4'
_space_group_name_H-M_alt 'C 1 2/c 1'
_space_group_IT_number 15
_cell_length_a 12.911
_cell_length_b 5.988
_cell_length_c 12.199
_cell_angle_alpha 90.00
_cell_angle_beta 119.11
_cell_angle_gamma 90.00
loop_
_space_group_symop_operation_xyz
'x,y,z'
'-x,-y,-z'
'-x,y,-z+1/2'
'x,-y,z+1/2'
'x+1/2,y+1/2,z'
'-x+1/2,-y+1/2,-z'
'-x+1/2,y+1/2,-z+1/2'
'x+1/2,-y+1/2,z+1/2'
loop_
_atom_site_label
_atom_site_type_symbol
_atom_site_fract_x
_atom_site_fract_y
_atom_site_fract_z
Rb1 Rb 0.180 0.056 0.095
In1 In 0.000 0.324 0.250
Sb1 Sb 0.000 0.178 0.750
```

First-principles (PBE) data for Rb2InSb after structural relaxation, as listed in Alexandria.

Computed properties:
For the size of the total moment, the calculation gives 0.00 μB per formula unit. Its calculated volume is 167.4 Å³/f.u. The excess energy over the best structure of this formula in the dataset comes out at 0.0 kJ/mol of atoms. The uncorrected formation energy comes out at -19.3 kJ per mole of atoms.

The structure in CIF format:
```
data_Rb2InSb
_chemical_formula_sum 'Rb8 In4 Sb4'
_space_group_name_H-M_alt 'C m c m'
_space_group_IT_number 63
_space_group_name_Hall '-C 2c 2'
_cell_length_a 11.224
_cell_length_b 9.349
_cell_length_c 6.380
_cell_angle_alpha 90.00
_cell_angle_beta 90.00
_cell_angle_gamma 90.00
loop_
_atom_site_label
_atom_site_type_symbol
_atom_site_fract_x
_atom_site_fract_y
_atom_site_fract_z
Rb1 Rb 0.173 0.150 0.250
In1 In 0.000 0.500 0.000
Sb1 Sb 0.000 0.208 0.750
```

First-principles (PBE) data for RbIn2Sb after structural relaxation, as listed in Alexandria.

Computed properties:
For the size of the total moment, the calculation gives 0.00 μB per formula unit. Its calculated volume is 137.4 Å³/f.u. The uncorrected formation energy comes out at -11.6 kJ per mole of atoms.

The structure in CIF format:
```
data_RbIn2Sb
_chemical_formula_sum 'Rb1 In2 Sb1'
_space_group_name_H-M_alt 'P 4/m m m'
_space_group_IT_number 123
_space_group_name_Hall '-P 4 2'
_cell_length_a 4.058
_cell_length_b 4.058
_cell_length_c 8.347
_cell_angle_alpha 90.00
_cell_angle_beta 90.00
_cell_angle_gamma 90.00
loop_
_atom_site_label
_atom_site_type_symbol
_atom_site_fract_x
_atom_site_fract_y
_atom_site_fract_z
Rb1 Rb 0.000 0.000 0.000
In1 In 0.500 0.500 0.313
Sb1 Sb 0.000 0.000 0.500
```

First-principles (PBE) data for RbIn2Sb2 after structural relaxation, as listed in Alexandria.

Computed properties:
For the size of the total moment, the calculation gives 0.00 μB per formula unit. Its calculated volume is 177.1 Å³/f.u. The excess energy over the best structure of this formula in the dataset comes out at 15.3 kJ/mol of atoms. The uncorrected formation energy comes out at -9.3 kJ per mole of atoms.

The structure in CIF format:
```
data_RbIn2Sb2
_chemical_formula_sum 'Rb2 In4 Sb4'
_space_group_name_H-M_alt 'P 4/m b m'
_space_group_IT_number 127
_space_group_name_Hall '-P 4 2ab'
_cell_length_a 9.288
_cell_length_b 9.288
_cell_length_c 4.105
_cell_angle_alpha 90.00
_cell_angle_beta 90.00
_cell_angle_gamma 90.00
loop_
_atom_site_label
_atom_site_type_symbol
_atom_site_fract_x
_atom_site_fract_y
_atom_site_fract_z
Rb1 Rb 0.000 0.000 0.000
In1 In 0.146 0.354 0.500
Sb1 Sb 0.113 0.613 0.000
```

First-principles (PBE) data for Rb3In2Sb2 after structural relaxation, as listed in Alexandria.

Computed properties:
For the size of the total moment, the calculation gives 0.00 μB per formula unit. Its calculated volume is 299.8 Å³/f.u. The uncorrected formation energy comes out at -33.3 kJ per mole of atoms.

The structure in CIF format:
```
data_Rb3In2Sb2
_chemical_formula_sum 'Rb6 In4 Sb4'
_space_group_name_H-M_alt 'I m m m'
_space_group_IT_number 71
_space_group_name_Hall '-I 2 2'
_cell_length_a 4.679
_cell_length_b 5.841
_cell_length_c 21.944
_cell_angle_alpha 90.00
_cell_angle_beta 90.00
_cell_angle_gamma 90.00
loop_
_atom_site_label
_atom_site_type_symbol
_atom_site_fract_x
_atom_site_fract_y
_atom_site_fract_z
Rb1 Rb 0.000 0.000 0.000
Rb2 Rb 0.000 0.500 0.314
In1 In 0.000 0.000 0.436
Sb1 Sb 0.000 0.500 0.138
```

First-principles (PBE) data for RbInSb4 after structural relaxation, as listed in Alexandria.

Computed properties:
For the size of the total moment, the calculation gives 0.00 μB per formula unit. Its calculated volume is 198.5 Å³/f.u. The uncorrected formation energy comes out at 0.6 kJ per mole of atoms.

The structure in CIF format:
```
data_RbInSb4
_chemical_formula_sum 'Rb4 In4 Sb16'
_space_group_name_H-M_alt 'F -4 3 m'
_space_group_IT_number 216
_space_group_name_Hall 'F -4 2 3'
_cell_length_a 9.261
_cell_length_b 9.261
_cell_length_c 9.261
_cell_angle_alpha 90.00
_cell_angle_beta 90.00
_cell_angle_gamma 90.00
loop_
_atom_site_label
_atom_site_type_symbol
_atom_site_fract_x
_atom_site_fract_y
_atom_site_fract_z
Rb1 Rb 0.000 0.000 0.000
In1 In 0.250 0.250 0.750
Sb1 Sb 0.118 0.118 0.382
```

First-principles (PBE) data for Rb5InSb2 after structural relaxation, as listed in Alexandria.

Computed properties:
For the size of the total moment, the calculation gives 0.00 μB per formula unit. Its calculated volume is 380.7 Å³/f.u. The uncorrected formation energy comes out at -22.8 kJ per mole of atoms.

The structure in CIF format:
```
data_Rb5InSb2
_chemical_formula_sum 'Rb15 In3 Sb6'
_space_group_name_H-M_alt 'R -3 m'
_space_group_IT_number 166
_space_group_name_Hall '-R 3 2"'
_cell_length_a 6.3613
_cell_length_b 6.3613
_cell_length_c 32.5923
_cell_angle_alpha 90.00
_cell_angle_beta 90.00
_cell_angle_gamma 120.00
loop_
_atom_site_label
_atom_site_type_symbol
_atom_site_fract_x
_atom_site_fract_y
_atom_site_fract_z
Rb1 Rb 0.0000 0.0000 0.0000
Rb2 Rb 0.0000 0.0000 0.1248
Rb3 Rb 0.0000 0.0000 0.2795
In1 In 0.0000 0.0000 0.5000
Sb1 Sb 0.0000 0.0000 0.4074
```

First-principles (PBE) data for RbIn2Sb2 after structural relaxation, as listed in Alexandria.

Computed properties:
For the size of the total moment, the calculation gives 0.00 μB per formula unit. Its calculated volume is 187.8 Å³/f.u. The excess energy over the best structure of this formula in the dataset comes out at 0.0 kJ/mol of atoms. The uncorrected formation energy comes out at -24.7 kJ per mole of atoms.

The structure in CIF format:
```
data_RbIn2Sb2
_chemical_formula_sum 'Rb2 In4 Sb4'
_space_group_name_H-M_alt 'I 4/m m m'
_space_group_IT_number 139
_space_group_name_Hall '-I 4 2'
_cell_length_a 4.974
_cell_length_b 4.974
_cell_length_c 15.179
_cell_angle_alpha 90.00
_cell_angle_beta 90.00
_cell_angle_gamma 90.00
loop_
_atom_site_label
_atom_site_type_symbol
_atom_site_fract_x
_atom_site_fract_y
_atom_site_fract_z
Rb1 Rb 0.000 0.000 0.000
In1 In 0.000 0.500 0.250
Sb1 Sb 0.000 0.000 0.362
```

First-principles (PBE) data for RbIn3Sb3 after structural relaxation, as listed in Alexandria.

Computed properties:
For the size of the total moment, the calculation gives 0.00 μB per formula unit. Its calculated volume is 279.7 Å³/f.u. The excess energy over the best structure of this formula in the dataset comes out at 2.9 kJ/mol of atoms. The uncorrected formation energy comes out at -13.7 kJ per mole of atoms.

The structure in CIF format:
```
data_RbIn3Sb3
_chemical_formula_sum 'Rb2 In6 Sb6'
_space_group_name_H-M_alt 'P m -3 n'
_space_group_IT_number 223
_space_group_name_Hall '-P 4n 2 3'
_cell_length_a 8.240
_cell_length_b 8.240
_cell_length_c 8.240
_cell_angle_alpha 90.00
_cell_angle_beta 90.00
_cell_angle_gamma 90.00
loop_
_atom_site_label
_atom_site_type_symbol
_atom_site_fract_x
_atom_site_fract_y
_atom_site_fract_z
Rb1 Rb 0.000 0.000 0.000
In1 In 0.000 0.250 0.500
Sb1 Sb 0.000 0.500 0.250
```

First-principles (PBE) data for RbIn2Sb2 after structural relaxation, as listed in Alexandria.

Computed properties:
For the size of the total moment, the calculation gives 0.00 μB per formula unit. Its calculated volume is 188.3 Å³/f.u. The excess energy over the best structure of this formula in the dataset comes out at 0.0 kJ/mol of atoms. The uncorrected formation energy comes out at -24.6 kJ per mole of atoms.

The structure in CIF format:
```
data_RbIn2Sb2
_chemical_formula_sum 'Rb2 In4 Sb4'
_space_group_name_H-M_alt 'C 1 2/m 1'
_space_group_IT_number 12
_cell_length_a 8.776
_cell_length_b 4.945
_cell_length_c 8.678
_cell_angle_alpha 90.00
_cell_angle_beta 90.33
_cell_angle_gamma 90.00
loop_
_space_group_symop_operation_xyz
'x,y,z'
'-x,-y,-z'
'-x,y,-z'
'x,-y,z'
'x+1/2,y+1/2,z'
'-x+1/2,-y+1/2,-z'
'-x+1/2,y+1/2,-z'
'x+1/2,-y+1/2,z'
loop_
_atom_site_label
_atom_site_type_symbol
_atom_site_fract_x
_atom_site_fract_y
_atom_site_fract_z
Rb1 Rb 0.000 0.000 0.000
In1 In 0.165 0.500 0.373
Sb1 Sb 0.167 0.500 0.717
```